Record 1
A geometry-optimized NdThNpN3 structure. Source: Alexandria via LeMat-Bulk, functional PBE-GGA.

Structure (CIF):
```
data_NdThNpN3
_chemical_formula_sum 'Nd2 Th2 Np2 N6'
_cell_length_a 7.284
_cell_length_b 3.680
_cell_length_c 8.847
_cell_angle_alpha 90.00
_cell_angle_beta 94.78
_cell_angle_gamma 90.00
_symmetry_space_group_name_H-M 'P 1 21/m 1'
_symmetry_Int_Tables_number 11
loop_
_symmetry_equiv_pos_as_xyz
'x,y,z'
'-x,-y,-z'
'-x,y+1/2,-z'
'x,-y+1/2,z'
loop_
_atom_site_label
_atom_site_fract_x
_atom_site_fract_y
_atom_site_fract_z
Nd1 0.148 0.250 0.129
Th1 0.370 0.750 0.841
Np1 0.051 0.250 0.587
N1 0.114 0.250 0.846
N2 0.216 0.750 0.590
N3 0.396 0.750 0.114
```

Output
**Magnetization**: 0.22 μB per atom
**D(E_F)**: 0.61 states/eV per atom
**Raw formation energy**: -1.05 eV per atom

Record 2
A geometry-optimized Nd2ThNpN4 structure. Source: Alexandria via LeMat-Bulk, functional PBE-GGA.

Structure (CIF):
```
data_Nd2ThNpN4
_chemical_formula_sum 'Nd2 Th1 Np1 N4'
_cell_length_a 6.238
_cell_length_b 3.599
_cell_length_c 6.239
_cell_angle_alpha 90.00
_cell_angle_beta 109.26
_cell_angle_gamma 90.00
_symmetry_space_group_name_H-M 'P 1 2/m 1'
_symmetry_Int_Tables_number 10
loop_
_symmetry_equiv_pos_as_xyz
'x,y,z'
'-x,-y,-z'
'-x,y,-z'
'x,-y,z'
loop_
_atom_site_label
_atom_site_fract_x
_atom_site_fract_y
_atom_site_fract_z
Nd1 0.000 0.000 0.000
Nd2 0.500 0.500 0.000
Th1 0.000 0.500 0.500
Np1 0.500 0.000 0.500
N1 0.256 0.000 0.728
N2 0.271 0.500 0.278
```

Output
**Magnetization**: 0.41 μB per atom
**D(E_F)**: 1.13 states/eV per atom
**Raw formation energy**: -1.37 eV per atom

Record 3
A geometry-optimized Nd3Th3NpN8 structure. Source: Alexandria via LeMat-Bulk, functional PBE-GGA.

Structure (CIF):
```
data_Nd3Th3NpN8
_chemical_formula_sum 'Nd9 Th9 Np3 N24'
_cell_length_a 7.2526
_cell_length_b 7.2526
_cell_length_c 17.5862
_cell_angle_alpha 90.00
_cell_angle_beta 90.00
_cell_angle_gamma 120.00
_symmetry_space_group_name_H-M 'R -3 m'
_symmetry_Int_Tables_number 166
_symmetry_space_group_name_Hall '-R 3 2"'
loop_
_atom_site_label
_atom_site_fract_x
_atom_site_fract_y
_atom_site_fract_z
Nd1 0.0000 0.5000 0.0000
Th1 0.0000 0.5000 0.5000
Np1 0.0000 0.0000 0.5000
N1 0.0000 0.0000 0.2450
N2 0.0380 0.5190 0.2348
```

Output
**Magnetization**: 0.07 μB per atom
**D(E_F)**: 0.52 states/eV per atom
**Raw formation energy**: -1.37 eV per atom

Record 4
A geometry-optimized Nd2Th3NpN6 structure. Source: Alexandria via LeMat-Bulk, functional PBE-GGA.

Structure (CIF):
```
data_Nd2Th3NpN6
_chemical_formula_sum 'Nd4 Th6 Np2 N12'
_cell_length_a 6.294
_cell_length_b 10.878
_cell_length_c 6.261
_cell_angle_alpha 90.00
_cell_angle_beta 109.65
_cell_angle_gamma 90.00
_symmetry_space_group_name_H-M 'C 1 2/m 1'
_symmetry_Int_Tables_number 12
loop_
_symmetry_equiv_pos_as_xyz
'x,y,z'
'-x,-y,-z'
'-x,y,-z'
'x,-y,z'
'x+1/2,y+1/2,z'
'-x+1/2,-y+1/2,-z'
'-x+1/2,y+1/2,-z'
'x+1/2,-y+1/2,z'
loop_
_atom_site_label
_atom_site_fract_x
_atom_site_fract_y
_atom_site_fract_z
Nd1 0.000 0.167 0.000
Th1 0.000 0.000 0.500
Th2 0.000 0.333 0.500
Np1 0.000 0.500 0.000
N1 0.230 0.500 0.744
N2 0.237 0.345 0.246
```

Output
**Magnetization**: 0.27 μB per atom
**D(E_F)**: 0.88 states/eV per atom
**Raw formation energy**: -1.42 eV per atom